[1]
VASP calculation (GGA-PBE) on a relaxed structure of NpCrN2.

a b c (Å): 6.0715 6.0715 6.0715
angles (deg): 34.03 34.03 34.03
With the nearest neighbours (Å) after each atom.
Positions (direct):
Np (0.0000, 0.0000, 0.0000)  6 N 2.27
Cr (0.5000, 0.5000, 0.5000)  2 N 1.88
N (0.3902, 0.3902, 0.3902)  1 Cr 1.88
N (0.6098, 0.6098, 0.6098)  1 Cr 1.88

Output
The total moment comes out at 1.452 μB per atom. Its space group is R-3m. Its formation energy without anion corrections is -55 kJ per mole of atoms.

---

[2]
VASP calculation (GGA-PBE) on a relaxed structure of NpCrN2.

a b c (Å): 5.3936 3.1685 10.4587
angles (deg): 90.00 90.00 90.00
With the nearest neighbours (Å) after each atom.
Positions (direct):
Np (0.0799, 0.2500, 0.1440)  7 N 2.32-2.46
Np (0.4201, 0.7500, 0.6440)  7 N 2.32-2.46
Np (0.5799, 0.2500, 0.3560)  7 N 2.32-2.46
Np (0.9201, 0.7500, 0.8560)  7 N 2.32-2.46
Cr (0.0774, 0.7500, 0.4064)  5 N 1.99-2.12
Cr (0.4226, 0.2500, 0.9064)  5 N 1.99-2.12
Cr (0.5774, 0.7500, 0.0936)  5 N 1.99-2.12
Cr (0.9226, 0.2500, 0.5936)  5 N 1.99-2.12
N (0.1636, 0.2500, 0.7533)  2 Cr 2.12, 2 Np 2.32
N (0.2339, 0.2500, 0.4915)  3 Cr 1.99-2.00
N (0.2661, 0.7500, 0.9915)  3 Cr 1.99-2.00
N (0.3364, 0.7500, 0.2533)  2 Cr 2.12, 2 Np 2.32
N (0.6636, 0.2500, 0.7467)  2 Cr 2.12, 2 Np 2.32
N (0.7339, 0.2500, 0.0085)  3 Cr 1.99-2.00
N (0.7661, 0.7500, 0.5085)  3 Cr 1.99-2.00
N (0.8364, 0.7500, 0.2467)  2 Cr 2.12, 2 Np 2.32

Output
The total moment comes out at 0.860 μB per atom. Its space group is Pnma. Its formation energy without anion corrections is -88 kJ per mole of atoms.

---

[3]
VASP calculation (GGA-PBE) on a relaxed structure of NpCr2PN.

a b c (Å): 5.6375 5.6375 7.1361
angles (deg): 90.00 90.00 144.93
With the nearest neighbours (Å) after each atom.
Positions (direct):
Np (0.0369, 0.9631, 0.7500)  4 N 2.49
Np (0.9631, 0.0369, 0.2500)  4 N 2.49
Cr (0.3280, 0.6720, 0.5565)  1 N 1.89
Cr (0.3280, 0.6720, 0.9435)  1 N 1.89
Cr (0.6720, 0.3280, 0.0565)  1 N 1.89
Cr (0.6720, 0.3280, 0.4435)  1 N 1.89
P (0.2422, 0.7578, 0.2500)  6 Cr 2.32-2.37
P (0.7578, 0.2422, 0.7500)  6 Cr 2.32-2.37
N (0.5000, 0.5000, 0.0000)  2 Cr 1.89
N (0.5000, 0.5000, 0.5000)  2 Cr 1.89

Output
The total moment comes out at 0.560 μB per atom. Its space group is Cmcm. Its formation energy without anion corrections is -73 kJ per mole of atoms.

---

[4]
VASP calculation (GGA-PBE) on a relaxed structure of Np2PaCrN6.

a b c (Å): 5.2620 5.2620 5.2310
angles (deg): 90.00 90.00 90.00
With the nearest neighbours (Å) after each atom.
Positions (direct):
Np (0.0000, 0.5000, 0.0000)  4 N 2.25
Np (0.5000, 0.0000, 0.0000)  4 N 2.25
Pa (0.0000, 0.0000, 0.5550)  5 N 2.12-2.21
Cr (0.5000, 0.5000, 0.6076)  1 N 1.71
N (0.0000, 0.0000, 0.1496)  1 Pa 2.12
N (0.2610, 0.2610, 0.7574)  1 Cr 1.94
N (0.2610, 0.7390, 0.7574)  1 Cr 1.94
N (0.5000, 0.5000, 0.2816)  1 Cr 1.71
N (0.7390, 0.2610, 0.7574)  1 Cr 1.94
N (0.7390, 0.7390, 0.7574)  1 Cr 1.94

Output
The total moment comes out at 0.700 μB per atom. Its space group is P4mm. Its formation energy without anion corrections is -76 kJ per mole of atoms.

---

[5]
VASP calculation (GGA-PBE) on a relaxed structure of NpPaCrN3.

a b c (Å): 7.1278 3.2789 7.3032
angles (deg): 90.00 98.18 90.00
With the nearest neighbours (Å) after each atom.
Positions (direct):
Np (0.1872, 0.2500, 0.1581)  7 N 2.33-2.55
Np (0.8128, 0.7500, 0.8419)  7 N 2.33-2.55
Pa (0.1879, 0.2500, 0.6473)  5 N 2.29-2.46
Pa (0.8121, 0.7500, 0.3527)  5 N 2.29-2.46
Cr (0.4208, 0.7500, 0.9077)  4 N 1.96-2.02
Cr (0.5792, 0.2500, 0.0923)  4 N 1.96-2.02
N (0.1360, 0.7500, 0.4123)  3 Pa 2.29-2.36, 2 Np 2.54
N (0.1427, 0.7500, 0.8877)  1 Cr 1.97
N (0.4520, 0.7500, 0.1789)  3 Cr 1.96-2.02
N (0.5480, 0.2500, 0.8211)  3 Cr 1.96-2.02
N (0.8573, 0.2500, 0.1123)  1 Cr 1.97
N (0.8640, 0.2500, 0.5877)  3 Pa 2.29-2.36, 2 Np 2.54

Output
The total moment comes out at 0.508 μB per atom. Its space group is P2_1/m. Its formation energy without anion corrections is -97 kJ per mole of atoms.

---

[6]
VASP calculation (GGA-PBE) on a relaxed structure of NpPa2CrN5.

a b c (Å): 6.8273 6.8273 10.3196
angles (deg): 90.00 90.00 151.73
With the nearest neighbours (Å) after each atom.
Positions (direct):
Np (0.2038, 0.7962, 0.5000)  6 N 2.14-2.33
Np (0.7962, 0.2038, 0.0000)  6 N 2.14-2.33
Pa (0.0989, 0.9011, 0.1800)  8 N 2.33-2.58
Pa (0.1487, 0.8513, 0.7979)  5 N 2.37-2.54
Pa (0.8513, 0.1487, 0.2979)  5 N 2.37-2.54
Pa (0.9011, 0.0989, 0.6800)  8 N 2.33-2.58
Cr (0.4795, 0.5205, 0.9497)  4 N 1.92-2.03
Cr (0.5205, 0.4795, 0.4497)  4 N 1.92-2.03
N (0.0486, 0.9514, 0.5567)  2 Cr 2.03, 1 Np 2.14
N (0.2768, 0.7232, 0.1553)  2 Np 2.33, 3 Pa 2.37-2.43
N (0.3358, 0.6642, 0.8512)  1 Cr 2.16, 2 Np 2.33
N (0.3735, 0.6265, 0.4979)  1 Cr 2.01, 1 Np 2.25
N (0.4766, 0.5234, 0.2722)  1 Cr 1.92
N (0.5234, 0.4766, 0.7722)  1 Cr 1.92
N (0.6265, 0.3735, 0.9979)  1 Cr 2.01, 1 Np 2.25
N (0.6642, 0.3358, 0.3512)  1 Cr 2.16, 2 Np 2.33
N (0.7232, 0.2768, 0.6553)  2 Np 2.33, 3 Pa 2.37-2.43
N (0.9514, 0.0486, 0.0567)  2 Cr 2.03, 1 Np 2.14

Output
The total moment comes out at 0.119 μB per atom. Its space group is Cmc2_1. Its formation energy without anion corrections is -114 kJ per mole of atoms.

---

[7]
VASP calculation (GGA-PBE) on a relaxed structure of Np2PaCrN5.

a b c (Å): 7.1069 7.1069 10.0171
angles (deg): 90.00 90.00 152.96
With the nearest neighbours (Å) after each atom.
Positions (direct):
Np (0.0945, 0.9055, 0.5000)  8 N 2.36-2.60
Np (0.1370, 0.8630, 0.1180)  6 N 2.36-2.63
Np (0.8630, 0.1370, 0.6180)  6 N 2.36-2.63
Np (0.9055, 0.0945, 0.0000)  8 N 2.36-2.60
Pa (0.2110, 0.7890, 0.8196)  6 N 2.29-2.35
Pa (0.7890, 0.2110, 0.3196)  6 N 2.29-2.35
Cr (0.4811, 0.5189, 0.2754)  4 N 1.90-1.99
Cr (0.5189, 0.4811, 0.7754)  4 N 1.90-1.99
N (0.0471, 0.9529, 0.8692)  2 Cr 1.95
N (0.2810, 0.7190, 0.4848)  2 Pa 2.35, 3 Np 2.41-2.58
N (0.3411, 0.6589, 0.1790)  1 Cr 2.16, 2 Pa 2.29
N (0.3789, 0.6211, 0.8201)  1 Cr 1.99
N (0.4831, 0.5169, 0.5928)  1 Cr 1.90
N (0.5169, 0.4831, 0.0928)  1 Cr 1.90
N (0.6211, 0.3789, 0.3201)  1 Cr 1.99
N (0.6589, 0.3411, 0.6790)  1 Cr 2.16, 2 Pa 2.29
N (0.7190, 0.2810, 0.9848)  2 Pa 2.35, 3 Np 2.41-2.58
N (0.9529, 0.0471, 0.3692)  2 Cr 1.95

Output
The total moment comes out at 0.148 μB per atom. Its space group is Cmc2_1. Its formation energy without anion corrections is -96 kJ per mole of atoms.

---

[8]
VASP calculation (GGA-PBE) on a relaxed structure of Pm2NpCrN4.

a b c (Å): 5.9965 5.9965 12.1106
angles (deg): 90.00 90.00 147.10
With the nearest neighbours (Å) after each atom.
Positions (direct):
Pm (0.1328, 0.8672, 0.5453)  4 N 2.35-2.59
Pm (0.1328, 0.8672, 0.9547)  4 N 2.35-2.59
Pm (0.8672, 0.1328, 0.0453)  4 N 2.35-2.59
Pm (0.8672, 0.1328, 0.4547)  4 N 2.35-2.59
Np (0.3966, 0.6034, 0.7500)  6 N 2.56-2.59
Np (0.6034, 0.3966, 0.2500)  6 N 2.56-2.59
Cr (0.3363, 0.6637, 0.2500)  4 N 1.87-2.03
Cr (0.6637, 0.3363, 0.7500)  4 N 1.87-2.03
N (0.0666, 0.9334, 0.7500)  2 Cr 2.03
N (0.2228, 0.7772, 0.1398)  1 Cr 1.87
N (0.2228, 0.7772, 0.3602)  1 Cr 1.87
N (0.5000, 0.5000, 0.0000)  4 Pm 2.35
N (0.5000, 0.5000, 0.5000)  4 Pm 2.35
N (0.7772, 0.2228, 0.6398)  1 Cr 1.87
N (0.7772, 0.2228, 0.8602)  1 Cr 1.87
N (0.9334, 0.0666, 0.2500)  2 Cr 2.03

Output
The total moment comes out at 0.732 μB per atom. Its space group is Cmcm. Its formation energy without anion corrections is -90 kJ per mole of atoms.

---

[9]
VASP calculation (GGA-PBE) on a relaxed structure of PmNpCrN3.

a b c (Å): 7.2830 3.3323 7.3283
angles (deg): 90.00 101.01 90.00
With the nearest neighbours (Å) after each atom.
Positions (direct):
Pm (0.2003, 0.2500, 0.1752)  7 N 2.49-2.71
Pm (0.7997, 0.7500, 0.8248)  7 N 2.49-2.71
Np (0.1770, 0.2500, 0.6527)  5 N 2.22-2.38
Np (0.8230, 0.7500, 0.3473)  5 N 2.22-2.38
Cr (0.4140, 0.7500, 0.9136)  4 N 1.90-2.05
Cr (0.5860, 0.2500, 0.0864)  4 N 1.90-2.05
N (0.1330, 0.7500, 0.4293)  3 Np 2.22-2.31
N (0.1483, 0.7500, 0.8776)  1 Cr 1.90
N (0.4693, 0.7500, 0.1823)  3 Cr 1.93-2.05
N (0.5307, 0.2500, 0.8177)  3 Cr 1.93-2.05
N (0.8517, 0.2500, 0.1224)  1 Cr 1.90
N (0.8670, 0.2500, 0.5707)  3 Np 2.22-2.31

Output
The total moment comes out at 0.507 μB per atom. Its space group is P2_1/m. Its formation energy without anion corrections is -90 kJ per mole of atoms.